Record 1
CeYI4: optimized geometry, PBE-GGA.

The uncorrected formation energy comes out at -1127 meV per atom. The density of states at the Fermi level comes out at 10.10 states/eV/f.u.

Unit cell a=6.239 b=6.239 c=12.106 alpha=90.00 beta=90.00 gamma=90.00
Space group I-4m2 (No. 119)
Asymmetric unit:
Ce (0.000, 0.000, 0.000) (multiplicity 2)
Y (0.000, 0.500, 0.250) (multiplicity 2)
I (0.000, 0.000, 0.266) (multiplicity 4)
I (0.000, 0.500, 0.507) (multiplicity 4)



Record 2
HfGaCo: optimized geometry, PBE-GGA.

The energy of formation from the pure elements is -122 kJ/mol of formula units. The density of states at the Fermi level comes out at 2.84 states/eV/f.u.

Unit cell a=4.1808 b=4.1808 c=3.0915 alpha=90.00 beta=90.00 gamma=120.00
Space group P-6m2 (No. 187)
Asymmetric unit:
Hf (0.0000, 0.0000, 0.0000) (multiplicity 1)
Ga (0.3333, 0.6667, 0.5000) (multiplicity 1)
Co (0.6667, 0.3333, 0.5000) (multiplicity 1)



Record 3
NiSb2PdI: optimized geometry, PBE-GGA.

The uncorrected formation energy comes out at 496 meV per atom. The density of states at the Fermi level comes out at 2.57 states/eV/f.u.

Unit cell a=4.891 b=4.891 c=5.358 alpha=90.00 beta=90.00 gamma=90.00
Space group P4/mmm (No. 123)
Asymmetric unit:
Ni (0.000, 0.000, 0.000) (multiplicity 1)
Sb (0.000, 0.500, 0.000) (multiplicity 2)
Pd (0.500, 0.500, 0.500) (multiplicity 1)
I (0.000, 0.000, 0.500) (multiplicity 1)



Record 4
Sc2TlCr2: optimized geometry, PBE-GGA.

The energy of formation from the pure elements is 79 kJ/mol of formula units. The density of states at the Fermi level comes out at 5.69 states/eV/f.u.

Unit cell a=7.401 b=7.401 c=3.411 alpha=90.00 beta=90.00 gamma=90.00
Space group P4/mbm (No. 127)
Asymmetric unit:
Sc (0.195, 0.305, 0.000) (multiplicity 4)
Tl (0.000, 0.000, 0.500) (multiplicity 2)
Cr (0.091, 0.591, 0.500) (multiplicity 4)



Record 5
Zr2ZnTc: optimized geometry, PBE-GGA.

The energy of formation from the pure elements is -58 kJ/mol of formula units. The density of states at the Fermi level comes out at 4.61 states/eV/f.u.

Unit cell a=10.631 b=3.401 c=4.563 alpha=90.00 beta=115.40 gamma=90.00
Space group Cm (No. 8)
Asymmetric unit:
Zr (0.000, 0.000, 0.000) (multiplicity 2)
Zr (0.228, 0.000, 0.729) (multiplicity 2)
Zn (0.276, 0.500, 0.277) (multiplicity 2)
Tc (0.499, 0.000, 0.498) (multiplicity 2)



Record 6
AlV3Ni: optimized geometry, PBE-GGA.

The energy of formation from the pure elements is 342 kJ/mol of formula units. The density of states at the Fermi level comes out at 7.86 states/eV/f.u.

Unit cell a=4.338 b=4.338 c=4.338 alpha=90.00 beta=90.00 gamma=90.00
Space group Pm-3m (No. 221)
Asymmetric unit:
Al (0.000, 0.000, 0.000) (multiplicity 1)
V (0.000, 0.500, 0.500) (multiplicity 3)
Ni (0.500, 0.500, 0.500) (multiplicity 1)



Record 7
Ho5Sc2Tl4: optimized geometry, PBE-GGA.

The energy of formation from the pure elements is 290 kJ/mol of formula units. The density of states at the Fermi level comes out at 14.26 states/eV/f.u.

Unit cell a=3.428 b=9.197 c=21.403 alpha=90.00 beta=90.00 gamma=90.00
Space group Immm (No. 71)
Asymmetric unit:
Ho (0.000, 0.000, 0.000) (multiplicity 2)
Ho (0.000, 0.185, 0.343) (multiplicity 8)
Sc (0.000, 0.500, 0.382) (multiplicity 4)
Tl (0.000, 0.179, 0.500) (multiplicity 4)
Tl (0.000, 0.500, 0.252) (multiplicity 4)



Record 8
LaZn6Ni2: optimized geometry, PBE-GGA.

The energy of formation from the pure elements is 151 kJ/mol of formula units. The density of states at the Fermi level comes out at 6.90 states/eV/f.u.

Unit cell a=11.400 b=11.400 c=11.400 alpha=90.00 beta=90.00 gamma=90.00
Space group Fd-3m (No. 227, origin choice 2)
Asymmetric unit:
La (0.125, 0.125, 0.125) (multiplicity 8)
Zn (0.101, 0.375, 0.875) (multiplicity 48)
Ni (0.000, 0.000, 0.500) (multiplicity 16)



Record 9
NaGdSn: optimized geometry, PBE-GGA.

The energy of formation from the pure elements is -90 kJ/mol of formula units.

Unit cell a=7.332 b=7.332 c=7.332 alpha=90.00 beta=90.00 gamma=90.00
Space group F-43m (No. 216)
Asymmetric unit:
Na (0.000, 0.000, 0.000) (multiplicity 4)
Gd (0.000, 0.000, 0.500) (multiplicity 4)
Sn (0.250, 0.250, 0.750) (multiplicity 4)



Record 10
Ba3SnI2: optimized geometry, PBE-GGA.

The uncorrected formation energy comes out at -1216 meV per atom. The density of states at the Fermi level comes out at 0.82 states/eV/f.u.

Unit cell a=8.919 b=15.423 c=8.907 alpha=90.00 beta=109.38 gamma=90.00
Space group C2/m (No. 12)
Asymmetric unit:
Ba (0.217, 0.000, 0.220) (multiplicity 4)
Ba (0.246, 0.179, 0.776) (multiplicity 8)
Sn (0.000, 0.168, 0.000) (multiplicity 4)
I (0.000, 0.000, 0.500) (multiplicity 2)
I (0.000, 0.342, 0.500) (multiplicity 4)
I (0.000, 0.500, 0.000) (multiplicity 2)



Record 11
Tl6ZnBr8: optimized geometry, PBE-GGA.

The uncorrected formation energy comes out at -825 meV per atom. The density of states at the Fermi level comes out at 0.00 states/eV/f.u.

Unit cell a=9.8718 b=9.8718 c=19.0240 alpha=90.00 beta=90.00 gamma=120.00
Space group R-3 (No. 148, hexagonal axes)
Asymmetric unit:
Tl (0.0218, 0.3953, 0.4225) (multiplicity 18)
Zn (0.0000, 0.0000, 0.5000) (multiplicity 3)
Br (0.0000, 0.0000, 0.1632) (multiplicity 6)
Br (0.0055, 0.2263, 0.5800) (multiplicity 18)



Record 12
AcLaPm5Nd2: optimized geometry, PBE-GGA.

The energy of formation from the pure elements is 215 kJ/mol of formula units. The density of states at the Fermi level comes out at 11.64 states/eV/f.u.

Unit cell a=9.095 b=9.095 c=15.946 alpha=90.00 beta=90.00 gamma=90.00
Space group I4/mcm (No. 140)
Asymmetric unit:
Ac (0.000, 0.500, 0.250) (multiplicity 4)
La (0.000, 0.000, 0.250) (multiplicity 4)
Pm (0.000, 0.000, 0.000) (multiplicity 4)
Pm (0.209, 0.291, 0.131) (multiplicity 16)
Nd (0.115, 0.385, 0.500) (multiplicity 8)